Record 1
VASP calculation (PBE-GGA) on a geometry-optimized K6ZnF8 structure.

a = 6.809 Å, b = 6.809 Å, c = 6.809 Å
α = 69.84°, β = 69.84°, γ = 69.84°
Last column: magnetic moment on the atom in μB.
Element x y z (fractional)
K1 0.060 0.487 0.703  0.00
K2 0.297 0.940 0.513  0.00
K3 0.513 0.297 0.940  0.00
K4 0.487 0.703 0.060  0.00
K5 0.703 0.060 0.487  0.00
K6 0.940 0.513 0.297  0.00
Zn1 0.000 0.000 0.000  0.03
F1 0.148 0.706 0.910  0.02
F2 0.090 0.852 0.294  0.02
F3 0.294 0.090 0.852  0.02
F4 0.657 0.657 0.657  0.08
F5 0.343 0.343 0.343  0.08
F6 0.706 0.910 0.148  0.02
F7 0.910 0.148 0.706  0.02
F8 0.852 0.294 0.090  0.02

Summary:
The uncorrected formation energy is -2.62 eV/atom. The value obtained for the theoretical density is 2.79 g/cm³. As for the total energy: -4.145 eV per atom. For the volume, the calculation gives 268.9 Å³/f.u. The crystal system is trigonal.


Record 2
VASP calculation (PBE-GGA) on a geometry-optimized Mg2FeBr structure.

a = 6.632 Å, b = 6.632 Å, c = 6.632 Å
α = 152.49°, β = 140.09°, γ = 49.16°
Last column: magnetic moment on the atom in μB.
Element x y z (fractional)
Br1 0.429 0.429 0.000  0.03
Fe1 0.256 0.756 0.500  2.37
Mg1 0.075 0.075 0.000  -0.03
Mg2 0.739 0.239 0.500  -0.03

Summary:
The uncorrected formation energy is 0.10 eV/atom. The value obtained for the theoretical density is 3.56 g/cm³. The calculation puts the polymorph energy (0 for the lowest one) at 183 meV/atom. As for the total energy: -3.227 eV per atom. For the volume, the calculation gives 86.1 Å³/f.u. The crystal system is orthorhombic.


Record 3
VASP calculation (PBE-GGA) on a geometry-optimized Hf3HPb2 structure.

a = 5.989 Å, b = 6.648 Å, c = 6.648 Å
α = 107.72°, β = 90.00°, γ = 90.00°
Element x y z (fractional)
Hf1 0.511 0.143 0.857
Hf2 0.011 0.143 0.857
Hf3 0.261 0.307 0.307
Hf4 0.761 0.693 0.693
Hf5 0.011 0.857 0.143
Hf6 0.511 0.857 0.143
H1 0.761 0.953 0.953
H2 0.261 0.047 0.047
Pb1 0.761 0.196 0.482
Pb2 0.261 0.518 0.804
Pb3 0.261 0.804 0.518
Pb4 0.761 0.482 0.196

Summary:
The value obtained for the theoretical density is 12.52 g/cm³. As for the total energy: -6.666 eV per atom. For the volume, the calculation gives 126.1 Å³/f.u. The crystal system is orthorhombic.


Record 4
VASP calculation (PBE-GGA) on a geometry-optimized Sm2Er3Tc2 structure.

a = 3.940 Å, b = 6.267 Å, c = 8.468 Å
α = 102.89°, β = 103.45°, γ = 108.32°
Element x y z (fractional)
Sm1 0.647 0.486 0.809
Sm2 0.353 0.514 0.191
Er1 0.500 0.000 0.000
Er2 0.198 0.824 0.571
Er3 0.802 0.176 0.429
Tc1 0.042 0.870 0.215
Tc2 0.958 0.130 0.785

Summary:
The value obtained for the theoretical density is 9.07 g/cm³. The value obtained for the energy of formation from the pure elements is -55 meV per atom. As for the total energy: -6.321 eV per atom. For the volume, the calculation gives 182.8 Å³/f.u. The crystal system is monoclinic.


Record 5
VASP calculation (PBE-GGA) on a geometry-optimized NbFe2HRu structure.

a = 3.726 Å, b = 3.726 Å, c = 3.994 Å
α = 90.00°, β = 90.00°, γ = 90.00°
Last column: magnetic moment on the atom in μB.
Element x y z (fractional)
Ru1 0.500 0.500 0.500  0.09
Nb1 0.000 0.000 0.500  -0.28
Fe1 0.000 0.500 0.000  1.21
Fe2 0.500 0.000 0.000  1.21
H1 0.000 0.000 0.000  -0.01

Summary:
The value obtained for the theoretical density is 9.18 g/cm³. The calculation puts the polymorph energy (0 for the lowest one) at 29 meV/atom. As for the total energy: -7.954 eV per atom. For the volume, the calculation gives 55.5 Å³/f.u. The crystal system is tetragonal.


Record 6
VASP calculation (PBE-GGA) on a geometry-optimized Er3Sn2BRu3 structure.

a = 3.531 Å, b = 7.468 Å, c = 7.468 Å
α = 120.00°, β = 90.00°, γ = 90.00°
Element x y z (fractional)
Er1 0.000 0.000 0.349
Er2 0.000 0.651 0.651
Er3 0.000 0.349 0.000
Sn1 0.500 0.333 0.667
Sn2 0.500 0.667 0.333
B1 0.000 0.000 0.000
Ru1 0.500 0.782 0.000
Ru2 0.500 0.218 0.218
Ru3 0.500 0.000 0.782

Summary:
The value obtained for the theoretical density is 10.26 g/cm³. The value obtained for the energy of formation from the pure elements is -493 meV per atom. As for the total energy: -6.737 eV per atom. For the volume, the calculation gives 170.5 Å³/f.u. The crystal system is hexagonal.


Please write out number 2 again, unchanged.
VASP calculation (PBE-GGA) on a geometry-optimized Mg2FeBr structure.

a = 6.632 Å, b = 6.632 Å, c = 6.632 Å
α = 152.49°, β = 140.09°, γ = 49.16°
Last column: magnetic moment on the atom in μB.
Element x y z (fractional)
Br1 0.429 0.429 0.000  0.03
Fe1 0.256 0.756 0.500  2.37
Mg1 0.075 0.075 0.000  -0.03
Mg2 0.739 0.239 0.500  -0.03

Summary:
The uncorrected formation energy is 0.10 eV/atom. The value obtained for the theoretical density is 3.56 g/cm³. The calculation puts the polymorph energy (0 for the lowest one) at 183 meV/atom. As for the total energy: -3.227 eV per atom. For the volume, the calculation gives 86.1 Å³/f.u. The crystal system is orthorhombic.


Please write out number 6 again, unchanged.
VASP calculation (PBE-GGA) on a geometry-optimized Er3Sn2BRu3 structure.

a = 3.531 Å, b = 7.468 Å, c = 7.468 Å
α = 120.00°, β = 90.00°, γ = 90.00°
Element x y z (fractional)
Er1 0.000 0.000 0.349
Er2 0.000 0.651 0.651
Er3 0.000 0.349 0.000
Sn1 0.500 0.333 0.667
Sn2 0.500 0.667 0.333
B1 0.000 0.000 0.000
Ru1 0.500 0.782 0.000
Ru2 0.500 0.218 0.218
Ru3 0.500 0.000 0.782

Summary:
The value obtained for the theoretical density is 10.26 g/cm³. The value obtained for the energy of formation from the pure elements is -493 meV per atom. As for the total energy: -6.737 eV per atom. For the volume, the calculation gives 170.5 Å³/f.u. The crystal system is hexagonal.